# 1
Computed, not measured: a relaxed structure of Tb4DyCd5 at the PBE level of DFT.

Cell lengths 3.7532, 3.7532, 18.8151 Å; angles 90.00, 90.00, 90.00 degrees
With the nearest neighbours (Å) after each atom.
Atoms (fractional coordinates):
Tb1 0.0000 0.0000 0.1996  8 Cd 3.26
Cd1 0.5000 0.5000 0.7002  8 Tb 3.25-3.26
Tb2 0.0000 0.0000 0.8004  8 Cd 3.26
Tb3 0.0000 0.0000 0.3998  8 Cd 3.25
Cd2 0.5000 0.5000 0.9009  4 Dy 3.24, 4 Tb 3.26
Tb4 0.0000 0.0000 0.6002  8 Cd 3.25
Cd3 0.5000 0.5000 0.2998  8 Tb 3.25-3.26
Cd4 0.5000 0.5000 0.5000  8 Tb 3.25
Dy1 0.0000 0.0000 0.0000  8 Cd 3.24
Cd5 0.5000 0.5000 0.0991  4 Dy 3.24, 4 Tb 3.26

Values from the calculation:
N(E_F): 1.27 states/eV per atom
VASP energy: -3.088 eV per atom
Space group: No. 123

---

# 2
Computed, not measured: a relaxed structure of Tb12Dy5Cd2 at the PBE level of DFT.

Cell lengths 9.2031, 9.0108, 8.3045 Å; angles 91.50, 90.00, 120.71 degrees
With the nearest neighbours (Å) after each atom.
Atoms (fractional coordinates):
Tb1 0.6666 0.7018 0.7612  1 Cd 3.27, 4 Tb 3.33-3.56, 4 Dy 3.51-3.64
Tb2 0.3334 0.2982 0.2388  1 Cd 3.27, 4 Tb 3.33-3.56, 4 Dy 3.51-3.64
Dy1 0.0000 0.0000 0.5000  10 Tb 3.41-3.67, 2 Dy 3.66
Tb3 0.1803 0.7489 0.3329  5 Tb 3.33-3.57, 4 Dy 3.37-3.67, 1 Cd 3.43
Tb4 0.9648 0.2982 0.2388  1 Cd 3.27, 4 Tb 3.33-3.56, 4 Dy 3.51-3.64
Tb5 0.4313 0.2511 0.6671  5 Tb 3.33-3.57, 4 Dy 3.37-3.67, 1 Cd 3.43
Dy2 0.2337 0.4675 0.5788  10 Tb 3.33-3.72, 2 Dy 3.53-3.66
Dy3 0.7663 0.5325 0.4212  10 Tb 3.33-3.72, 2 Dy 3.53-3.66
Tb6 0.5687 0.7489 0.3329  5 Tb 3.33-3.57, 4 Dy 3.37-3.67, 1 Cd 3.43
Tb7 0.4443 0.8886 0.6748  2 Cd 3.24, 7 Tb 3.33-3.50, 2 Dy 3.33-3.45
Cd1 0.6753 0.0000 0.0000  1 Cd 3.23, 8 Tb 3.24-3.43, 2 Dy 3.45
Dy4 0.3028 0.6055 0.9879  8 Tb 3.45-3.63, 2 Cd 3.45, 1 Dy 3.53
Dy5 0.6972 0.3945 0.0121  8 Tb 3.45-3.63, 2 Cd 3.45, 1 Dy 3.53
Tb8 0.8197 0.2511 0.6671  5 Tb 3.33-3.57, 4 Dy 3.37-3.67, 1 Cd 3.43
Tb9 0.9174 0.8348 0.1149  5 Tb 3.24-3.52, 2 Cd 3.40, 3 Dy 3.41-3.51
Cd2 0.3247 0.0000 0.0000  1 Cd 3.23, 8 Tb 3.24-3.43, 2 Dy 3.45
Tb10 0.0352 0.7018 0.7612  1 Cd 3.27, 4 Tb 3.33-3.56, 4 Dy 3.51-3.64
Tb11 0.0826 0.1652 0.8851  5 Tb 3.24-3.52, 2 Cd 3.40, 3 Dy 3.41-3.51
Tb12 0.5557 0.1114 0.3252  2 Cd 3.24, 7 Tb 3.33-3.50, 2 Dy 3.33-3.45

Values from the calculation:
N(E_F): 1.56 states/eV per atom
VASP energy: -4.184 eV per atom
Space group: No. 12

---

# 3
Computed, not measured: a relaxed structure of Tb6DyCd at the PBE level of DFT.

Cell lengths 4.9171, 4.9171, 10.0310 Å; angles 90.00, 90.00, 90.00 degrees
With the nearest neighbours (Å) after each atom.
Atoms (fractional coordinates):
Tb1 0.0000 0.5000 0.2548  8 Tb 3.48-3.55, 2 Cd 3.48, 2 Dy 3.55
Tb2 0.5000 0.0000 0.7452  8 Tb 3.48-3.55, 2 Cd 3.48, 2 Dy 3.55
Tb3 0.5000 0.5000 0.0000  4 Dy 3.48, 8 Tb 3.55
Dy1 0.0000 0.0000 0.0000  12 Tb 3.48-3.55
Tb4 0.5000 0.5000 0.5000  4 Cd 3.48, 8 Tb 3.48
Tb5 0.5000 0.0000 0.2548  8 Tb 3.48-3.55, 2 Cd 3.48, 2 Dy 3.55
Tb6 0.0000 0.5000 0.7452  8 Tb 3.48-3.55, 2 Cd 3.48, 2 Dy 3.55
Cd1 0.0000 0.0000 0.5000  12 Tb 3.48

Values from the calculation:
N(E_F): 1.48 states/eV per atom
ΔE to the lowest computed polymorph: 0.000 eV per formula unit
Space group: No. 123

---

# 4
Computed, not measured: a relaxed structure of TbDy3Cd3 at the PBE level of DFT.

Cell lengths 7.5397, 7.5397, 6.9820 Å; angles 90.00, 90.00, 90.20 degrees
With the nearest neighbours (Å) after each atom.
Atoms (fractional coordinates):
Dy1 0.2607 0.7393 0.0000  6 Cd 3.19-3.28, 2 Dy 3.49
Dy2 0.7383 0.7383 0.5000  6 Cd 3.19-3.29, 2 Tb 3.49
Tb1 0.2628 0.2628 0.9999  6 Cd 3.20-3.29, 2 Dy 3.49
Cd1 0.0000 0.0000 0.2488  6 Dy 3.28-3.29, 2 Tb 3.29, 2 Cd 3.47-3.51
Cd2 0.0000 0.5000 0.2507  6 Dy 3.18-3.19, 2 Tb 3.20, 2 Cd 3.48-3.50
Dy3 0.7405 0.2595 0.5000  6 Cd 3.18-3.28, 2 Dy 3.49
Dy4 0.2595 0.7405 0.5000  6 Cd 3.18-3.28, 2 Dy 3.49
Cd3 0.5000 0.0000 0.2507  6 Dy 3.18-3.19, 2 Tb 3.20, 2 Cd 3.48-3.50
Cd4 0.5000 0.0000 0.7493  6 Dy 3.18-3.19, 2 Tb 3.20, 2 Cd 3.48-3.50
Dy5 0.2617 0.2617 0.5000  6 Cd 3.19-3.29, 2 Tb 3.49
Tb2 0.7372 0.7372 0.0001  6 Cd 3.20-3.29, 2 Dy 3.49
Cd5 0.0000 0.0000 0.7512  6 Dy 3.28-3.29, 2 Tb 3.29, 2 Cd 3.47-3.51
Cd6 0.0000 0.5000 0.7493  6 Dy 3.18-3.19, 2 Tb 3.20, 2 Cd 3.48-3.50
Dy6 0.7393 0.2607 0.0000  6 Cd 3.19-3.28, 2 Dy 3.49

Values from the calculation:
N(E_F): 1.31 states/eV per atom
VASP energy: -3.163 eV per atom
Space group: No. 65

---

# 5
Computed, not measured: a relaxed structure of Tb3DyCd4 at the PBE level of DFT.

Cell lengths 5.2882, 7.5726, 10.5775 Å; angles 90.00, 90.00, 90.00 degrees
With the nearest neighbours (Å) after each atom.
Atoms (fractional coordinates):
Cd1 0.5000 0.2510 0.0000  2 Dy 3.25, 6 Tb 3.25-3.26
Dy1 0.0000 0.5000 0.5000  8 Cd 3.25
Cd2 0.5000 0.7490 0.0000  2 Dy 3.25, 6 Tb 3.25-3.26
Tb1 0.4996 0.5000 0.2500  8 Cd 3.25
Cd3 0.0004 0.7490 0.7500  6 Tb 3.25-3.26, 2 Dy 3.25
Dy2 0.0000 0.5000 0.0000  8 Cd 3.25
Tb2 0.5003 0.0000 0.7500  8 Cd 3.26
Cd4 0.5000 0.2510 0.5000  2 Dy 3.25, 6 Tb 3.25-3.26
Cd5 0.0004 0.2510 0.7500  6 Tb 3.25-3.26, 2 Dy 3.25
Tb3 0.0000 0.0000 0.5000  8 Cd 3.26
Cd6 0.5000 0.7490 0.5000  2 Dy 3.25, 6 Tb 3.25-3.26
Tb4 0.0000 0.0000 0.0000  8 Cd 3.26
Cd7 0.9996 0.7490 0.2500  6 Tb 3.25-3.26, 2 Dy 3.25
Cd8 0.9996 0.2510 0.2500  6 Tb 3.25-3.26, 2 Dy 3.25
Tb5 0.5004 0.5000 0.7500  8 Cd 3.25
Tb6 0.4997 0.0000 0.2500  8 Cd 3.26

Values from the calculation:
N(E_F): 1.21 states/eV per atom
VASP energy: -3.089 eV per atom
Space group: No. 123

---

# 6
Computed, not measured: a relaxed structure of TbDy5Cd4 at the PBE level of DFT.

Cell lengths 3.6911, 3.6911, 20.1932 Å; angles 90.00, 90.00, 90.00 degrees
With the nearest neighbours (Å) after each atom.
Atoms (fractional coordinates):
Cd1 0.0000 0.0000 0.5948  8 Dy 3.22-3.24
Dy1 0.5000 0.5000 0.5000  8 Cd 3.24
Tb1 0.0000 0.0000 0.0000  8 Dy 3.57, 4 Tb 3.69
Cd2 0.0000 0.0000 0.4052  8 Dy 3.22-3.24
Dy2 0.5000 0.5000 0.6884  8 Cd 3.22-3.25
Dy3 0.5000 0.5000 0.1208  4 Cd 3.24, 4 Tb 3.57
Cd3 0.0000 0.0000 0.7844  8 Dy 3.24-3.25
Dy4 0.5000 0.5000 0.3116  8 Cd 3.22-3.25
Dy5 0.5000 0.5000 0.8792  4 Cd 3.24, 4 Tb 3.57
Cd4 0.0000 0.0000 0.2156  8 Dy 3.24-3.25

Values from the calculation:
N(E_F): 1.41 states/eV per atom
VASP energy: -3.368 eV per atom
Space group: No. 123

---

# 7
Computed, not measured: a relaxed structure of Tb7Dy3Cd at the PBE level of DFT.

Cell lengths 8.5272, 6.9586, 6.9586 Å; angles 120.00, 90.00, 90.00 degrees
With the nearest neighbours (Å) after each atom.
Atoms (fractional coordinates):
Dy1 0.7839 0.5014 0.4986  5 Tb 3.45-3.50, 4 Dy 3.45-3.51, 1 Cd 3.51
Tb1 0.1138 0.6667 0.3333  3 Dy 3.45, 9 Tb 3.46-3.48
Tb2 0.4470 0.8304 0.6608  7 Tb 3.42-3.54, 2 Cd 3.48, 2 Dy 3.49
Dy2 0.7839 0.5014 0.0029  5 Tb 3.45-3.50, 4 Dy 3.45-3.51, 1 Cd 3.51
Tb3 0.4470 0.8304 0.1696  7 Tb 3.42-3.54, 2 Cd 3.48, 2 Dy 3.49
Tb4 0.4470 0.3392 0.1696  7 Tb 3.42-3.54, 2 Cd 3.48, 2 Dy 3.49
Cd1 0.4482 0.3333 0.6667  9 Tb 3.44-3.48, 3 Dy 3.51
Tb5 0.1202 0.1675 0.3349  1 Cd 3.44, 8 Tb 3.45-3.50, 2 Dy 3.50
Tb6 0.1202 0.6651 0.8325  1 Cd 3.44, 8 Tb 3.45-3.50, 2 Dy 3.50
Tb7 0.1202 0.1675 0.8325  1 Cd 3.44, 8 Tb 3.45-3.50, 2 Dy 3.50
Dy3 0.7839 0.9971 0.4986  5 Tb 3.45-3.50, 4 Dy 3.45-3.51, 1 Cd 3.51

Values from the calculation:
N(E_F): 1.43 states/eV per atom
VASP energy: -4.125 eV per atom
Space group: No. 156

---

# 8
Computed, not measured: a relaxed structure of Tb2DyCd6 at the PBE level of DFT.

Cell lengths 3.4260, 8.6354, 8.6354 Å; angles 120.00, 90.00, 90.00 degrees
With the nearest neighbours (Å) after each atom.
Atoms (fractional coordinates):
Cd1 0.5000 0.0000 0.3330  3 Cd 2.88
Cd2 0.5000 0.3330 0.3330  3 Cd 2.88
Tb1 0.0000 0.3333 0.6667  12 Cd 3.35, 2 Tb 3.43
Tb2 0.0000 0.6667 0.3333  12 Cd 3.35, 2 Tb 3.43
Cd3 0.5000 0.6670 0.6670  3 Cd 2.88
Cd4 0.5000 0.0000 0.6670  3 Cd 2.88
Cd5 0.5000 0.3330 0.0000  3 Cd 2.88
Cd6 0.5000 0.6670 0.0000  3 Cd 2.88
Dy1 0.0000 0.0000 0.0000  12 Cd 3.35, 2 Dy 3.43

Values from the calculation:
N(E_F): 0.87 states/eV per atom
VASP energy: -2.470 eV per atom
Space group: No. 191

---

# 9
Computed, not measured: a relaxed structure of TbDy2Cd5 at the PBE level of DFT.

Cell lengths 5.1339, 5.1339, 8.3393 Å; angles 107.93, 107.93, 90.00 degrees
With the nearest neighbours (Å) after each atom.
Atoms (fractional coordinates):
Cd1 0.8800 0.3800 0.7599  4 Dy 3.13-3.33, 2 Cd 3.14, 2 Tb 3.14
Cd2 0.3800 0.8800 0.7599  4 Dy 3.13-3.33, 2 Cd 3.14, 2 Tb 3.14
Cd3 0.1200 0.6200 0.2401  4 Dy 3.13-3.33, 2 Cd 3.14, 2 Tb 3.14
Tb1 0.0000 0.0000 0.0000  8 Cd 3.14
Cd4 0.6200 0.1200 0.2401  4 Dy 3.13-3.33, 2 Cd 3.14, 2 Tb 3.14
Dy1 0.7388 0.7388 0.4776  8 Cd 3.13-3.33
Cd5 0.5000 0.5000 0.0000  8 Cd 3.14
Dy2 0.2612 0.2612 0.5224  8 Cd 3.13-3.33

Values from the calculation:
N(E_F): 0.44 states/eV per atom
VASP energy: -2.607 eV per atom
Space group: No. 139

---

# 10
Computed, not measured: a relaxed structure of Tb5DyCd4 at the PBE level of DFT.

Cell lengths 3.7067, 3.7067, 20.2131 Å; angles 90.00, 90.00, 90.00 degrees
With the nearest neighbours (Å) after each atom.
Atoms (fractional coordinates):
Cd1 0.0000 0.0000 0.5949  8 Tb 3.24-3.25
Cd2 0.0000 0.0000 0.4051  8 Tb 3.24-3.25
Tb1 0.5000 0.5000 0.1199  4 Cd 3.25, 4 Dy 3.57
Dy1 0.0000 0.0000 0.0000  8 Tb 3.57, 4 Dy 3.71
Tb2 0.5000 0.5000 0.3111  8 Cd 3.24-3.26
Tb3 0.5000 0.5000 0.5000  8 Cd 3.25
Cd3 0.0000 0.0000 0.7852  8 Tb 3.25-3.26
Cd4 0.0000 0.0000 0.2148  8 Tb 3.25-3.26
Tb4 0.5000 0.5000 0.6889  8 Cd 3.24-3.26
Tb5 0.5000 0.5000 0.8801  4 Cd 3.25, 4 Dy 3.57

Values from the calculation:
N(E_F): 1.40 states/eV per atom
VASP energy: -3.380 eV per atom
Space group: No. 123

---

# 11
Computed, not measured: a relaxed structure of Tb7DyCd2 at the PBE level of DFT.

Cell lengths 5.2543, 9.0834, 9.0834 Å; angles 120.98, 90.00, 90.00 degrees
With the nearest neighbours (Å) after each atom.
Atoms (fractional coordinates):
Cd1 0.5000 0.3037 0.6963  5 Tb 2.92-3.11
Tb1 0.0000 0.2227 0.7773  2 Cd 2.92
Tb2 0.5000 0.2987 0.0659  2 Cd 3.11-3.38, 2 Tb 3.26-3.39
Tb3 0.5000 0.0659 0.2987  2 Cd 3.11-3.38, 2 Tb 3.26-3.39
Tb4 0.0000 0.7773 0.2227  2 Cd 2.92
Tb5 0.5000 0.5000 0.5000  2 Cd 3.10, 4 Tb 3.39
Dy1 0.0000 0.0000 0.0000  10 Tb 3.52-3.60
Tb6 0.5000 0.9341 0.7013  2 Cd 3.11-3.38, 2 Tb 3.26-3.39
Tb7 0.5000 0.7013 0.9341  2 Cd 3.11-3.38, 2 Tb 3.26-3.39
Cd2 0.5000 0.6963 0.3037  5 Tb 2.92-3.11

Values from the calculation:
N(E_F): 2.07 states/eV per atom
VASP energy: -3.474 eV per atom
Space group: No. 65

---

# 12
Computed, not measured: a relaxed structure of Tb2DyCd8 at the PBE level of DFT.

Cell lengths 5.3356, 6.3496, 8.9202 Å; angles 110.35, 106.82, 91.56 degrees
With the nearest neighbours (Å) after each atom.
Atoms (fractional coordinates):
Cd1 0.1409 0.8983 0.2578  5 Cd 2.94-3.21, 1 Tb 3.24
Cd2 0.1170 0.3596 0.2578  5 Cd 2.94-3.21, 1 Tb 3.24
Cd3 0.2999 0.7999 0.5998  6 Cd 3.16-3.33, 1 Dy 3.17, 4 Tb 3.18-3.20
Cd4 0.8591 0.1017 0.7422  5 Cd 2.94-3.21, 1 Tb 3.24
Cd5 0.2522 0.4847 0.0000  4 Cd 2.65-2.94
Cd6 0.7001 0.2001 0.4002  6 Cd 3.16-3.33, 1 Dy 3.17, 4 Tb 3.18-3.20
Dy1 0.5000 0.0000 0.0000  6 Cd 3.17-3.50
Cd7 0.7478 0.5153 0.0000  4 Cd 2.65-2.94
Cd8 0.8830 0.6404 0.7422  5 Cd 2.94-3.21, 1 Tb 3.24
Tb1 0.3110 0.3110 0.6220  12 Cd 3.18-3.32
Tb2 0.6890 0.6890 0.3780  12 Cd 3.18-3.32

Values from the calculation:
N(E_F): 0.52 states/eV per atom
VASP energy: -2.163 eV per atom
Space group: No. 12